SmNpTeSe2: optimized geometry, GGA-PBE.

Cell lengths 7.7170, 7.7170, 7.7170 Å; angles 145.44, 145.44, 49.67 degrees
Sites, in units of the cell vectors:
Sm  0.0000  0.0000  0.0000
Np  0.2595  0.2595  0.0000
Te  0.6322  0.6322  0.0000
Se  0.3781  0.8781  0.5000
Se  0.8781  0.3781  0.5000

Results
The calculation puts the total DFT energy (no corrections) at -6.56 eV per atom. The space-group type is I4mm (107). As for the formation energy (no corrections): -1.004 eV/atom.

=====

Sm3NpTl4Se8: optimized geometry, GGA-PBE.

Cell lengths 9.1824, 9.1824, 9.1824 Å; angles 55.38, 55.38, 55.38 degrees
Sites, in units of the cell vectors:
Sm  0.0000  0.5000  0.5000
Sm  0.5000  0.0000  0.5000
Sm  0.5000  0.5000  0.0000
Np  0.0000  0.0000  0.0000
Tl  0.0000  0.0000  0.5000
Tl  0.0000  0.5000  0.0000
Tl  0.5000  0.0000  0.0000
Tl  0.5000  0.5000  0.5000
Se  0.2349  0.2349  0.7376
Se  0.2349  0.7376  0.2349
Se  0.2624  0.7651  0.7651
Se  0.2637  0.2637  0.2637
Se  0.7363  0.7363  0.7363
Se  0.7376  0.2349  0.2349
Se  0.7651  0.2624  0.7651
Se  0.7651  0.7651  0.2624

Results
The calculation puts the total DFT energy (no corrections) at -5.28 eV per atom. The space-group type is R-3m (166). As for the formation energy (no corrections): -1.257 eV/atom.

=====

SmNpTl2Se4: optimized geometry, GGA-PBE.

Cell lengths 7.3794, 4.2522, 8.1275 Å; angles 90.00, 107.60, 90.00 degrees
Sites, in units of the cell vectors:
Sm  0.0000  0.0000  0.0000
Np  0.5000  0.5000  0.0000
Tl  0.0000  0.5000  0.5000
Tl  0.5000  0.0000  0.5000
Se  0.2374  0.5000  0.2081
Se  0.2681  0.0000  0.7949
Se  0.7319  0.0000  0.2051
Se  0.7626  0.5000  0.7919

Results
The calculation puts the total DFT energy (no corrections) at -5.68 eV per atom. The space-group type is P2/m (10). As for the formation energy (no corrections): -1.134 eV/atom.

=====

SmNp3Tl4Se8: optimized geometry, GGA-PBE.

Cell lengths 9.1669, 9.1669, 9.1669 Å; angles 55.10, 55.10, 55.10 degrees
Sites, in units of the cell vectors:
Sm  0.0000  0.0000  0.0000
Np  0.0000  0.5000  0.5000
Np  0.5000  0.0000  0.5000
Np  0.5000  0.5000  0.0000
Tl  0.0000  0.0000  0.5000
Tl  0.0000  0.5000  0.0000
Tl  0.5000  0.0000  0.0000
Tl  0.5000  0.5000  0.5000
Se  0.2368  0.2368  0.7323
Se  0.2368  0.7323  0.2368
Se  0.2662  0.2662  0.2662
Se  0.2677  0.7632  0.7632
Se  0.7323  0.2368  0.2368
Se  0.7338  0.7338  0.7338
Se  0.7632  0.2677  0.7632
Se  0.7632  0.7632  0.2677

Results
The calculation puts the total DFT energy (no corrections) at -6.07 eV per atom. The space-group type is R-3m (166). As for the formation energy (no corrections): -1.019 eV/atom.

=====

SmYNp2Se4: optimized geometry, GGA-PBE.

Cell lengths 7.0807, 4.1188, 7.1842 Å; angles 90.00, 109.60, 90.00 degrees
Sites, in units of the cell vectors:
Sm  0.0000  0.0000  0.0000
Y  0.0000  0.5000  0.5000
Np  0.5000  0.0000  0.5000
Np  0.5000  0.5000  0.0000
Se  0.2500  0.0000  0.7477
Se  0.2526  0.5000  0.2551
Se  0.7474  0.5000  0.7449
Se  0.7500  0.0000  0.2523

Results
The calculation puts the total DFT energy (no corrections) at -7.80 eV per atom. The space-group type is P2/m (10). As for the formation energy (no corrections): -1.422 eV/atom.

=====

Np3Sn5Se12: optimized geometry, GGA-PBE.

Cell lengths 14.5319, 14.5319, 14.5319 Å; angles 109.47, 109.47, 109.47 degrees
Sites, in units of the cell vectors:
Np  0.1250  0.2500  0.3750
Np  0.1250  0.3750  0.7500
Np  0.2500  0.3750  0.1250
Np  0.2500  0.8750  0.6250
Np  0.3750  0.1250  0.2500
Np  0.3750  0.7500  0.1250
Np  0.6250  0.2500  0.8750
Np  0.6250  0.8750  0.7500
Np  0.7500  0.1250  0.3750
Np  0.7500  0.6250  0.8750
Np  0.8750  0.6250  0.2500
Np  0.8750  0.7500  0.6250
Sn  0.0000  0.0000  0.0000
Sn  0.0000  0.0000  0.5000
Sn  0.0000  0.5000  0.0000
Sn  0.0000  0.5000  0.5000
Sn  0.1250  0.7500  0.8750
Sn  0.1250  0.8750  0.2500
Sn  0.2500  0.1250  0.8750
Sn  0.2500  0.6250  0.3750
Sn  0.3750  0.2500  0.6250
Sn  0.3750  0.6250  0.7500
Sn  0.5000  0.0000  0.0000
Sn  0.5000  0.0000  0.5000
Sn  0.5000  0.5000  0.0000
Sn  0.5000  0.5000  0.5000
Sn  0.6250  0.3750  0.2500
Sn  0.6250  0.7500  0.3750
Sn  0.7500  0.3750  0.6250
Sn  0.7500  0.8750  0.1250
Sn  0.8750  0.1250  0.7500
Sn  0.8750  0.2500  0.1250
Se  0.0525  0.2243  0.1394
Se  0.0525  0.3282  0.9132
Se  0.0850  0.7243  0.6718
Se  0.0850  0.8606  0.4132
Se  0.0868  0.6394  0.4150
Se  0.0868  0.9475  0.6718
Se  0.1394  0.0525  0.2243
Se  0.1394  0.5868  0.9150
Se  0.1718  0.2243  0.5850
Se  0.1718  0.4475  0.5868
Se  0.2243  0.1394  0.0525
Se  0.2243  0.5850  0.1718
Se  0.2757  0.3282  0.9150
Se  0.2757  0.4475  0.3606
Se  0.3282  0.9132  0.0525
Se  0.3282  0.9150  0.2757
Se  0.3606  0.2757  0.4475
Se  0.3606  0.5850  0.9132
Se  0.4132  0.0850  0.8606
Se  0.4132  0.8282  0.5525
Se  0.4150  0.0868  0.6394
Se  0.4150  0.8282  0.7757
Se  0.4475  0.3606  0.2757
Se  0.4475  0.5868  0.1718
Se  0.5525  0.4132  0.8282
Se  0.5525  0.6394  0.7243
Se  0.5850  0.1718  0.2243
Se  0.5850  0.9132  0.3606
Se  0.5868  0.1718  0.4475
Se  0.5868  0.9150  0.1394
Se  0.6394  0.4150  0.0868
Se  0.6394  0.7243  0.5525
Se  0.6718  0.0850  0.7243
Se  0.6718  0.0868  0.9475
Se  0.7243  0.5525  0.6394
Se  0.7243  0.6718  0.0850
Se  0.7757  0.4150  0.8282
Se  0.7757  0.8606  0.9475
Se  0.8282  0.5525  0.4132
Se  0.8282  0.7757  0.4150
Se  0.8606  0.4132  0.0850
Se  0.8606  0.9475  0.7757
Se  0.9132  0.0525  0.3282
Se  0.9132  0.3606  0.5850
Se  0.9150  0.1394  0.5868
Se  0.9150  0.2757  0.3282
Se  0.9475  0.6718  0.0868
Se  0.9475  0.7757  0.8606

Results
The calculation puts the total DFT energy (no corrections) at -5.61 eV per atom. The space-group type is Ia-3d (230). As for the formation energy (no corrections): -0.582 eV/atom.

=====

NpSnSe3: optimized geometry, GGA-PBE.

Cell lengths 7.4800, 7.4800, 7.4800 Å; angles 134.62, 91.59, 105.66 degrees
Sites, in units of the cell vectors:
Np  0.3089  0.0589  0.2500
Np  0.6911  0.9411  0.7500
Sn  0.0000  0.5000  0.5000
Sn  0.5000  0.5000  0.0000
Se  0.1108  0.1557  0.9550
Se  0.2993  0.8443  0.4550
Se  0.3680  0.6180  0.7500
Se  0.6320  0.3820  0.2500
Se  0.7007  0.1557  0.5450
Se  0.8892  0.8443  0.0450

Results
The calculation puts the total DFT energy (no corrections) at -6.03 eV per atom. The space-group type is Imma (74). As for the formation energy (no corrections): -0.555 eV/atom. The calculation puts the energy above the most stable polymorph in this dataset at 19.02 kJ/mol of atoms.

=====

NpSn2Se4: optimized geometry, GGA-PBE.

Cell lengths 7.3844, 7.3844, 13.6743 Å; angles 90.00, 90.00, 148.53 degrees
Sites, in units of the cell vectors:
Np  0.1163  0.8837  0.7500
Np  0.8837  0.1163  0.2500
Sn  0.3691  0.6309  0.5657
Sn  0.3691  0.6309  0.9343
Sn  0.6309  0.3691  0.0657
Sn  0.6309  0.3691  0.4343
Se  0.0000  0.0000  0.0000
Se  0.0000  0.0000  0.5000
Se  0.2865  0.7135  0.1270
Se  0.2865  0.7135  0.3730
Se  0.4757  0.5243  0.7500
Se  0.5243  0.4757  0.2500
Se  0.7135  0.2865  0.6270
Se  0.7135  0.2865  0.8730

Results
The calculation puts the total DFT energy (no corrections) at -5.61 eV per atom. The space-group type is Cmcm (63). As for the formation energy (no corrections): -0.631 eV/atom. The calculation puts the energy above the most stable polymorph in this dataset at 1.00 kJ/mol of atoms.

=====

Np2SnSe6: optimized geometry, GGA-PBE.

Cell lengths 10.2762, 10.2762, 10.2762 Å; angles 149.95, 149.95, 43.01 degrees
Sites, in units of the cell vectors:
Np  0.1880  0.1880  0.0000
Np  0.8120  0.8120  0.0000
Sn  0.5000  0.5000  0.0000
Se  0.1410  0.7071  0.0000
Se  0.2500  0.7500  0.5000
Se  0.2929  0.2929  0.4339
Se  0.7071  0.1410  0.0000
Se  0.7500  0.2500  0.5000
Se  0.8590  0.8590  0.5661

Results
The calculation puts the total DFT energy (no corrections) at -6.16 eV per atom. The space-group type is I-42m (121). As for the formation energy (no corrections): -0.513 eV/atom.

=====

Np2Sn2Se7: optimized geometry, GGA-PBE.

Cell lengths 9.0051, 9.0051, 9.0051 Å; angles 154.32, 67.77, 118.49 degrees
Sites, in units of the cell vectors:
Np  0.2390  0.0000  0.2390
Np  0.7610  0.0000  0.7610
Sn  0.2630  0.7630  0.5000
Sn  0.7511  0.7511  0.0000
Se  0.0171  0.7016  0.3155
Se  0.0564  0.0564  0.0000
Se  0.3628  0.4892  0.8736
Se  0.3861  0.7016  0.6845
Se  0.6156  0.4892  0.1264
Se  0.6542  0.3049  0.3493
Se  0.9557  0.3049  0.6507

Results
The calculation puts the total DFT energy (no corrections) at -5.96 eV per atom. The space-group type is Imm2 (44). As for the formation energy (no corrections): -0.659 eV/atom.

=====

Np3SnSe6: optimized geometry, GGA-PBE.

Cell lengths 8.8871, 8.8871, 7.2145 Å; angles 90.00, 90.00, 102.65 degrees
Sites, in units of the cell vectors:
Np  0.0997  0.9003  0.5000
Np  0.2178  0.4184  0.4083
Np  0.4184  0.2178  0.9083
Np  0.5816  0.7822  0.4083
Np  0.7822  0.5816  0.9083
Np  0.9003  0.0997  0.0000
Sn  0.3207  0.6793  0.8790
Sn  0.6793  0.3207  0.3790
Se  0.0512  0.5923  0.6709
Se  0.1319  0.1961  0.7070
Se  0.1961  0.1319  0.2070
Se  0.2700  0.7300  0.2755
Se  0.4077  0.9488  0.6709
Se  0.4923  0.5077  0.6446
Se  0.5077  0.4923  0.1446
Se  0.5923  0.0512  0.1709
Se  0.7300  0.2700  0.7755
Se  0.8039  0.8681  0.7070
Se  0.8681  0.8039  0.2070
Se  0.9488  0.4077  0.1709

Results
The calculation puts the total DFT energy (no corrections) at -7.30 eV per atom. The space-group type is Cmc2_1 (36). As for the formation energy (no corrections): -0.929 eV/atom.

=====

NpSn2Se6: optimized geometry, GGA-PBE.

Cell lengths 8.9792, 8.9792, 7.1338 Å; angles 96.32, 96.32, 83.82 degrees
Sites, in units of the cell vectors:
Np  0.1025  0.8975  0.7500
Np  0.8975  0.1025  0.2500
Sn  0.2376  0.3925  0.6653
Sn  0.3925  0.2376  0.1653
Sn  0.6075  0.7624  0.8347
Sn  0.7624  0.6075  0.3347
Se  0.0387  0.1903  0.6153
Se  0.1180  0.6151  0.8696
Se  0.1903  0.0387  0.1153
Se  0.2837  0.4828  0.3474
Se  0.3849  0.8820  0.6304
Se  0.4828  0.2837  0.8474
Se  0.5172  0.7163  0.1526
Se  0.6151  0.1180  0.3696
Se  0.7163  0.5172  0.6526
Se  0.8097  0.9613  0.8847
Se  0.8820  0.3849  0.1304
Se  0.9613  0.8097  0.3847

Results
The calculation puts the total DFT energy (no corrections) at -5.12 eV per atom. The space-group type is C2/c (15). As for the formation energy (no corrections): -0.470 eV/atom.

=====

NpSnSe3: optimized geometry, GGA-PBE.

Cell lengths 10.0357, 10.0357, 7.4938 Å; angles 90.00, 90.00, 155.79 degrees
Sites, in units of the cell vectors:
Np  0.1726  0.8274  0.5000
Np  0.8274  0.1726  0.0000
Sn  0.3529  0.6471  0.5201
Sn  0.6471  0.3529  0.0201
Se  0.0846  0.9154  0.1982
Se  0.2522  0.7478  0.8294
Se  0.4007  0.5993  0.1564
Se  0.5993  0.4007  0.6564
Se  0.7478  0.2522  0.3294
Se  0.9154  0.0846  0.6982

Results
The calculation puts the total DFT energy (no corrections) at -6.23 eV per atom. The space-group type is Cmc2_1 (36). As for the formation energy (no corrections): -0.752 eV/atom. The calculation puts the energy above the most stable polymorph in this dataset at 0.00 kJ/mol of atoms.

=====

NpSnSe: optimized geometry, GGA-PBE.

Cell lengths 6.4135, 6.4135, 6.4135 Å; angles 147.57, 147.57, 46.53 degrees
Sites, in units of the cell vectors:
Np  0.0000  0.0000  0.0000
Sn  0.3039  0.3039  0.0000
Se  0.6128  0.6128  0.0000

Results
The calculation puts the total DFT energy (no corrections) at -7.18 eV per atom. The space-group type is I4mm (107). As for the formation energy (no corrections): -0.369 eV/atom.

=====

Np2SnSe: optimized geometry, GGA-PBE.

Cell lengths 8.1898, 8.1898, 8.1898 Å; angles 28.18, 28.18, 28.18 degrees
Sites, in units of the cell vectors:
Np  0.2414  0.2414  0.2414
Np  0.7586  0.7586  0.7586
Sn  0.0000  0.0000  0.0000
Se  0.5000  0.5000  0.5000

Results
The calculation puts the total DFT energy (no corrections) at -8.68 eV per atom. The space-group type is R-3m (166). As for the formation energy (no corrections): -0.335 eV/atom.

=====

NpSn2Se4: optimized geometry, GGA-PBE.

Cell lengths 8.6822, 8.6822, 12.0150 Å; angles 90.00, 90.00, 90.00 degrees
Sites, in units of the cell vectors:
Np  0.0000  0.2511  0.0000
Np  0.0000  0.7489  0.5000
Np  0.2511  0.0000  0.7500
Np  0.7489  0.0000  0.2500
Sn  0.2473  0.2473  0.3750
Sn  0.2473  0.7527  0.1250
Sn  0.2547  0.5000  0.7500
Sn  0.5000  0.2547  0.0000
Sn  0.5000  0.7453  0.5000
Sn  0.7453  0.5000  0.2500
Sn  0.7527  0.2473  0.6250
Sn  0.7527  0.7527  0.8750
Se  0.0267  0.2403  0.7629
Se  0.0267  0.7597  0.7371
Se  0.2374  0.4748  0.0009
Se  0.2374  0.5252  0.4991
Se  0.2403  0.0267  0.9871
Se  0.2403  0.9733  0.5129
Se  0.4748  0.2374  0.7491
Se  0.4748  0.7626  0.7509
Se  0.5252  0.2374  0.2509
Se  0.5252  0.7626  0.2491
Se  0.7597  0.0267  0.0129
Se  0.7597  0.9733  0.4871
Se  0.7626  0.4748  0.9991
Se  0.7626  0.5252  0.5009
Se  0.9733  0.2403  0.2371
Se  0.9733  0.7597  0.2629

Results
The calculation puts the total DFT energy (no corrections) at -5.62 eV per atom. The space-group type is P4_122 (91). As for the formation energy (no corrections): -0.641 eV/atom. The calculation puts the energy above the most stable polymorph in this dataset at 0.00 kJ/mol of atoms.

=====

NpSnSe: optimized geometry, GGA-PBE.

Cell lengths 9.2365, 9.2365, 9.2365 Å; angles 154.31, 154.31, 36.65 degrees
Sites, in units of the cell vectors:
Np  0.1536  0.1536  0.0000
Np  0.8464  0.8464  0.0000
Sn  0.0000  0.5000  0.5000
Sn  0.5000  0.0000  0.5000
Se  0.3187  0.3187  0.0000
Se  0.6813  0.6813  0.0000

Results
The calculation puts the total DFT energy (no corrections) at -7.49 eV per atom. The space-group type is I4/mmm (139). As for the formation energy (no corrections): -0.682 eV/atom.

=====

NpTlSnSe3: optimized geometry, GGA-PBE.

Cell lengths 9.2255, 4.1688, 9.7476 Å; angles 90.00, 95.21, 90.00 degrees
Sites, in units of the cell vectors:
Np  0.1396  0.2500  0.1469
Np  0.8604  0.7500  0.8531
Tl  0.3320  0.7500  0.8092
Tl  0.6680  0.2500  0.1908
Sn  0.3591  0.7500  0.4341
Sn  0.6409  0.2500  0.5659
Se  0.0748  0.2500  0.8528
Se  0.1645  0.2500  0.4433
Se  0.3596  0.7500  0.1447
Se  0.6404  0.2500  0.8553
Se  0.8355  0.7500  0.5567
Se  0.9252  0.7500  0.1472

Results
The calculation puts the total DFT energy (no corrections) at -5.67 eV per atom. The space-group type is P2_1/m (11). As for the formation energy (no corrections): -0.708 eV/atom.